1.
The following is a SCAN calculation of NiRhSe at its PBEsol-relaxed geometry, from Alexandria via LeMat-Bulk.

Cell: 5.7173 5.7173 5.7173 Å, 90.00 90.00 90.00°
Element x y z (fractional)
Ni (0.0000, 0.0000, 0.0000)
Ni (0.0000, 0.5000, 0.5000)
Ni (0.5000, 0.0000, 0.5000)
Ni (0.5000, 0.5000, 0.0000)
Rh (0.2500, 0.2500, 0.2500)
Rh (0.2500, 0.7500, 0.7500)
Rh (0.7500, 0.2500, 0.7500)
Rh (0.7500, 0.7500, 0.2500)
Se (0.0000, 0.0000, 0.5000)
Se (0.0000, 0.5000, 0.0000)
Se (0.5000, 0.0000, 0.0000)
Se (0.5000, 0.5000, 0.5000)

## Properties
- Crystal system: cubic



2.
The following is a SCAN calculation of Li3HfNi at its PBEsol-relaxed geometry, from Alexandria via LeMat-Bulk.

Cell: 4.9676 4.9676 4.9676 Å, 90.00 90.00 90.00°
Element x y z (fractional)
Li (0.0000, 0.0000, 0.5000)
Li (0.0000, 0.5000, 0.0000)
Li (0.5000, 0.0000, 0.0000)
Hf (0.0000, 0.0000, 0.0000)
Ni (0.5000, 0.5000, 0.5000)

## Properties
- Energy of formation from the pure elements: 1.8432 eV/atom
- Crystal system: cubic



For the records above, the corresponding magnetization values read 6.09 2.42 μB per cell.
For the records above, the corresponding energy values read -279.0 -76.8 eV for the cell shown.